Model i:
Here is Co2Tc2Pd after structural relaxation from Alexandria. Energies are from PBE.

Magnetization = 0.3 Bohr magnetons per cell
Density of states at the Fermi level = 0.805 states/eV per atom

Cell lengths 7.0763, 7.0763, 2.6437 Å; angles 90.00, 90.00, 90.00 degrees
With the nearest neighbours (Å) after each atom.
Space group P4/mbm (No. 127)
Inequivalent atoms, fractional coordinates:
Co  0.1211  0.3789  0.0000 x4  3 Co 2.42-2.64, 6 Tc 2.45-2.49
Tc  0.1726  0.6726  0.5000 x4  6 Co 2.45-2.49, 2 Tc 2.64
Pd  0.0000  0.0000  0.0000 x2  2 Pd 2.64, 4 Co 2.81, 8 Tc 2.93


Model ii:
Here is Co2Tc2Pd after structural relaxation from Alexandria. Energies are from PBE.

Magnetization = 1.7 Bohr magnetons per cell
Density of states at the Fermi level = 0.628 states/eV per atom

Cell lengths 3.7910, 3.7910, 9.9648 Å; angles 90.00, 90.00, 90.00 degrees
With the nearest neighbours (Å) after each atom.
Space group I4/mmm (No. 139)
Inequivalent atoms, fractional coordinates:
Co  0.0000  0.0000  0.1051 x4  1 Co 2.09
Tc  0.0000  0.5000  0.2500 x4  4 Co 2.38
Pd  0.0000  0.0000  0.5000 x2  8 Co 2.88, 8 Tc 3.13


Model iii:
Here is Co2Tc2Pd after structural relaxation from Alexandria. Energies are from PBE.

Magnetization = 0.0 Bohr magnetons per cell
Density of states at the Fermi level = 0.763 states/eV per atom

Cell lengths 7.2203, 7.2203, 2.6031 Å; angles 90.00, 90.00, 90.00 degrees
With the nearest neighbours (Å) after each atom.
Space group P4/mbm (No. 127)
Inequivalent atoms, fractional coordinates:
Co  0.1666  0.3334  0.0000 x4  6 Tc 2.48-2.50, 2 Co 2.60
Tc  0.1262  0.6262  0.5000 x4  6 Co 2.48-2.50, 3 Tc 2.58-2.60
Pd  0.0000  0.0000  0.5000 x2  2 Pd 2.60, 4 Tc 2.85


The energy of each structure relative to the most stable one, in meV/atom, is as follows: model i 0; model ii 287; model iii 96.


Model i:
Here is CoTcPd3 after structural relaxation from Alexandria. Energies are from PBE.

Magnetization = 7.3 Bohr magnetons per cell
Density of states at the Fermi level = 1.004 states/eV per atom

Cell lengths 4.5470, 4.5470, 4.5470 Å; angles 90.00, 90.00, 90.00 degrees
With the nearest neighbours (Å) after each atom.
Space group Pm-3m (No. 221)
Inequivalent atoms, fractional coordinates:
Co  0.0000  0.0000  0.0000 x1  6 Pd 2.27
Tc  0.5000  0.5000  0.5000 x1  12 Pd 3.22
Pd  0.0000  0.0000  0.5000 x3  2 Co 2.27


Model ii:
Here is CoTcPd3 after structural relaxation from Alexandria. Energies are from PBE.

Magnetization = 0.1 Bohr magnetons per cell
Density of states at the Fermi level = 2.456 states/eV per atom

Cell lengths 4.7180, 4.7180, 4.7180 Å; angles 90.00, 90.00, 90.00 degrees
With the nearest neighbours (Å) after each atom.
Space group Pm-3m (No. 221)
Inequivalent atoms, fractional coordinates:
Co  0.0000  0.0000  0.0000 x1  12 Pd 3.34
Tc  0.5000  0.5000  0.5000 x1  6 Pd 2.36
Pd  0.0000  0.5000  0.5000 x3  2 Tc 2.36


The energy of each structure relative to the most stable one, in meV/atom, is as follows: model i 0; model ii 526.


Model i:
Here is Co2TcPd after structural relaxation from Alexandria. Energies are from PBE.

Magnetization = 0.0 Bohr magnetons per cell
Density of states at the Fermi level = 1.756 states/eV per atom

Cell lengths 6.4985, 6.4985, 5.2949 Å; angles 90.00, 90.00, 90.00 degrees
With the nearest neighbours (Å) after each atom.
Space group I-42d (No. 122)
Inequivalent atoms, fractional coordinates:
Co  0.2212  0.2500  0.1250 x8  2 Tc 2.27, 2 Pd 2.52
Tc  0.0000  0.0000  0.0000 x4  4 Co 2.27
Pd  0.0000  0.0000  0.5000 x4  4 Co 2.52, 2 Tc 2.65


Model ii:
Here is Co2TcPd after structural relaxation from Alexandria. Energies are from PBE.

Magnetization = 8.8 Bohr magnetons per cell
Density of states at the Fermi level = 1.497 states/eV per atom

Cell lengths 2.6648, 2.6648, 25.5453 Å; angles 90.00, 90.00, 120.00 degrees
With the nearest neighbours (Å) after each atom.
Space group R-3m (No. 166, hexagonal axes)
Inequivalent atoms, fractional coordinates:
Co  0.0000  0.0000  0.2481 x6  3 Tc 2.59, 6 Co 2.66, 3 Pd 2.67
Tc  0.0000  0.0000  0.5000 x3  6 Co 2.59, 6 Tc 2.66
Pd  0.0000  0.0000  0.0000 x3  6 Pd 2.66, 6 Co 2.67


Model iii:
Here is Co2TcPd after structural relaxation from Alexandria. Energies are from PBE.

Magnetization = 10.8 Bohr magnetons per cell
Density of states at the Fermi level = 1.438 states/eV per atom

Cell lengths 5.9092, 5.9092, 5.9092 Å; angles 90.00, 90.00, 90.00 degrees
With the nearest neighbours (Å) after each atom.
Space group Fm-3m (No. 225)
Inequivalent atoms, fractional coordinates:
Co  0.2500  0.2500  0.2500 x8  4 Tc 2.56, 4 Pd 2.56
Tc  0.0000  0.0000  0.0000 x4  8 Co 2.56
Pd  0.0000  0.0000  0.5000 x4  8 Co 2.56


The energy of each structure relative to the most stable one, in meV/atom, is as follows: model i 438; model ii 0; model iii 102.


Model i:
Here is CoTe4Pd2 after structural relaxation from Alexandria. Energies are from PBE.

Magnetization = 0.0 Bohr magnetons per cell
Density of states at the Fermi level = 0.680 states/eV per atom

Cell lengths 12.8588, 4.0631, 6.9634 Å; angles 90.00, 121.36, 90.00 degrees
With the nearest neighbours (Å) after each atom.
Space group C2/m (No. 12)
Inequivalent atoms, fractional coordinates:
Co  0.0000  0.0000  0.0000 x2  6 Te 2.63-2.65, 2 Pd 2.90
Te  0.1059  0.0000  0.4398 x4  1 Co 2.63, 3 Pd 2.71-2.77
Te  0.1243  0.5000  0.9737 x4  2 Co 2.65, 3 Pd 2.81-2.82
Pd  0.2364  0.5000  0.7185 x4  6 Te 2.71-2.82, 1 Co 2.90


Model ii:
Here is CoTe4Pd2 after structural relaxation from Alexandria. Energies are from PBE.

Magnetization = 0.0 Bohr magnetons per cell
Density of states at the Fermi level = 0.717 states/eV per atom

Cell lengths 5.1701, 5.1701, 12.7983 Å; angles 90.00, 90.00, 90.00 degrees
With the nearest neighbours (Å) after each atom.
Space group I4/mmm (No. 139)
Inequivalent atoms, fractional coordinates:
Co  0.0000  0.0000  0.0000 x2  6 Te 2.49-2.59
Te  0.0000  0.0000  0.1943 x4  1 Co 2.49, 1 Pd 2.57
Te  0.0000  0.5000  0.0000 x4  2 Co 2.59
Pd  0.0000  0.0000  0.3951 x4  1 Te 2.57, 1 Pd 2.68


The energy of each structure relative to the most stable one, in meV/atom, is as follows: model i 0; model ii 432.